# TiNbIr | Alexandria | PBE | optimized geometry
data_TiNbIr
_chemical_formula_sum 'Ti2 Nb2 Ir2'
_cell_length_a 2.860
_cell_length_b 4.517
_cell_length_c 7.835
_cell_angle_alpha 90.00
_cell_angle_beta 90.00
_cell_angle_gamma 90.00
_space_group_name_H-M_alt 'I m m 2'
_space_group_IT_number 44
loop_
_space_group_symop_operation_xyz
'x,y,z'
'-x,-y,z'
'-x,y,z'
'x,-y,z'
'x+1/2,y+1/2,z+1/2'
'-x+1/2,-y+1/2,z+1/2'
'-x+1/2,y+1/2,z+1/2'
'x+1/2,-y+1/2,z+1/2'
loop_
_atom_site_label
_atom_site_type_symbol
_atom_site_fract_x
_atom_site_fract_y
_atom_site_fract_z
Ti1 Ti 0.000 0.000 0.000
Nb1 Nb 0.000 0.500 0.809
Ir1 Ir 0.000 0.000 0.621
# Calculated total energy (eV/atom): -9.0955
# Energy of formation (meV per atom): -154
# Relative energy among the computed polymorphs (eV per atom): 0.298
# Calculated density (g/cm3): 10.93



# YCuP2 | Alexandria | PBE | optimized geometry
data_YCuP2
_chemical_formula_sum 'Y4 Cu4 P8'
_cell_length_a 5.646
_cell_length_b 3.939
_cell_length_c 12.993
_cell_angle_alpha 90.00
_cell_angle_beta 90.00
_cell_angle_gamma 90.00
_space_group_name_H-M_alt 'P n m a'
_space_group_IT_number 62
loop_
_space_group_symop_operation_xyz
'x,y,z'
'-x,-y,-z'
'-x+1/2,-y,z+1/2'
'x+1/2,y,-z+1/2'
'x+1/2,-y+1/2,-z+1/2'
'-x+1/2,y+1/2,z+1/2'
'-x,y+1/2,-z'
'x,-y+1/2,z'
loop_
_atom_site_label
_atom_site_type_symbol
_atom_site_fract_x
_atom_site_fract_y
_atom_site_fract_z
Y1 Y 0.072 0.250 0.150
Cu1 Cu 0.161 0.250 0.512
P1 P 0.049 0.250 0.690
P2 P 0.247 0.250 0.927
# Calculated total energy (eV/atom): -6.0840
# Energy of formation (meV per atom): -739
# Calculated density (g/cm3): 4.93



# Mn2ZnRu2 | Alexandria | PBE | optimized geometry
data_Mn2ZnRu2
_chemical_formula_sum 'Mn4 Zn2 Ru4'
_cell_length_a 7.184
_cell_length_b 7.184
_cell_length_c 2.676
_cell_angle_alpha 90.00
_cell_angle_beta 90.00
_cell_angle_gamma 90.00
_space_group_name_H-M_alt 'P 4/m b m'
_space_group_IT_number 127
_space_group_name_Hall '-P 4 2ab'
loop_
_atom_site_label
_atom_site_type_symbol
_atom_site_fract_x
_atom_site_fract_y
_atom_site_fract_z
Mn1 Mn 0.164 0.336 0.000
Zn1 Zn 0.000 0.000 0.500
Ru1 Ru 0.131 0.631 0.500
# Calculated total energy (eV/atom): -7.4127
# Energy of formation (meV per atom): 220
# Relative energy among the computed polymorphs (eV per atom): 0.033
# Calculated density (g/cm3): 9.07